Material: ReIr2
Method: DFT, PBE-GGA
State: relaxed

Values from the calculation:
Total moment = 0.000 μB per atom
Energy above the most stable polymorph in this dataset = 160 meV per atom
Energy relative to the elements = -0.0710 eV per atom
Total DFT energy (no corrections) = -10.1277 eV per atom

a b c (Å): 7.4739 7.4739 2.7545
angles (deg): 90.00 90.00 120.00
Space group P-62m (No. 189)
Symmetry-distinct sites (fractional):
Re 0.0000 0.0000 0.0000 [1 per cell]
Re 0.3333 0.6667 0.5000 [2 per cell]
Ir 0.0000 0.3007 0.5000 [3 per cell]
Ir 0.0000 0.6375 0.0000 [3 per cell]

=====

Material: ReIr2
Method: DFT, PBE-GGA
State: relaxed

Values from the calculation:
Total moment = 0.000 μB per atom
Energy above the most stable polymorph in this dataset = 206 meV per atom
Energy relative to the elements = -0.0253 eV per atom
Total DFT energy (no corrections) = -10.0820 eV per atom

a b c (Å): 2.761 2.761 23.975
angles (deg): 90.00 90.00 90.00
Space group I4_1/amd (No. 141, origin choice 2)
Symmetry-distinct sites (fractional):
Re 0.000 0.250 0.375 [4 per cell]
Ir 0.000 0.250 0.798 [8 per cell]

=====

What did the first record say?
Material: ReIr2
Method: DFT, PBE-GGA
State: relaxed

Values from the calculation:
Total moment = 0.000 μB per atom
Energy above the most stable polymorph in this dataset = 160 meV per atom
Energy relative to the elements = -0.0710 eV per atom
Total DFT energy (no corrections) = -10.1277 eV per atom

a b c (Å): 7.4739 7.4739 2.7545
angles (deg): 90.00 90.00 120.00
Space group P-62m (No. 189)
Symmetry-distinct sites (fractional):
Re 0.0000 0.0000 0.0000 [1 per cell]
Re 0.3333 0.6667 0.5000 [2 per cell]
Ir 0.0000 0.3007 0.5000 [3 per cell]
Ir 0.0000 0.6375 0.0000 [3 per cell]